Below is Rb5ZnPb6 after structural relaxation, with properties calculated at the GGA-PBE level.

Values from the calculation:
E_form ... -0.079 eV per atom
DOS(E_F) ... 2.91 states/eV per cell
Magnetic moment ... 0.00 μB/cell

a = 8.3163 Å, b = 8.3163 Å, c = 10.1079 Å
α = 98.17°, β = 98.17°, γ = 125.02°
Closest atoms and distances in Å follow each position.
Positions (direct):
Rb 0.0000 0.0000 0.0000  6 Pb 3.69-3.81, 2 Rb 4.00
Rb 0.1481 0.8519 0.5000  6 Pb 4.01-4.30, 1 Rb 4.37, 2 Zn 4.42
Rb 0.2710 0.7290 0.0000  6 Pb 3.77-4.03, 3 Rb 3.89-4.00
Rb 0.7290 0.2710 0.0000  6 Pb 3.77-4.03, 3 Rb 3.89-4.00
Rb 0.8519 0.1481 0.5000  6 Pb 4.01-4.30, 1 Rb 4.37, 2 Zn 4.42
Zn 0.5000 0.5000 0.5000  4 Pb 2.70
Pb 0.2405 0.4667 0.2838  1 Zn 2.70
Pb 0.3807 0.3807 0.8308  3 Pb 3.12-3.35
Pb 0.4667 0.2405 0.2838  1 Zn 2.70
Pb 0.5333 0.7595 0.7162  1 Zn 2.70
Pb 0.6193 0.6193 0.1692  3 Pb 3.12-3.35
Pb 0.7595 0.5333 0.7162  1 Zn 2.70